w | Material: BaYCr2
Method: DFT, PBE
State: relaxed

abc: 8.635 5.507 3.722
angles: 90.02 64.45 129.66
Last column: magnetic moment on the atom in μB.
Positions (direct):
1 Cr 0.500 0.000 0.500  3.73
2 Cr 0.000 0.000 0.000  3.73
3 Ba 0.500 0.500 0.000  0.01
4 Y 0.000 0.500 0.500  -0.15

- size of the total moment (μB per atom) = 2.035
- crystal system = tetragonal
- Fermi-level density of states (states/eV per cell) = 4.0

x | Material: BaYCr2
Method: DFT, PBE
State: relaxed

abc: 5.438 5.438 5.438
angles: 60.00 60.00 60.00
Last column: magnetic moment on the atom in μB.
Positions (direct):
1 Cr 0.750 0.750 0.750  3.71
2 Cr 0.250 0.250 0.250  3.71
3 Ba 0.500 0.500 0.500  -0.03
4 Y 0.000 0.000 0.000  -0.15

- size of the total moment (μB per atom) = 1.983
- crystal system = cubic
- Fermi-level density of states (states/eV per cell) = 4.2

Unit: kJ/mol of atoms. Relative energies: w 0.0; x 2.7.

w | Material: BaY2Cr
Method: DFT, PBE
State: relaxed

abc: 3.670 3.687 10.435
angles: 69.38 90.00 90.00
Last column: magnetic moment on the atom in μB.
Positions (direct):
1 Ba 0.500 0.250 0.250  0.06
2 Y 0.000 0.080 0.921  -0.11
3 Y 0.000 0.420 0.579  -0.11
4 Cr 0.500 0.750 0.750  3.23

- size of the total moment (μB per atom) = 0.837
- crystal system = monoclinic
- Fermi-level density of states (states/eV per cell) = 3.7

x | Material: BaY2Cr
Method: DFT, PBE
State: relaxed

abc: 5.784 5.784 3.867
angles: 90.00 90.00 102.73
Last column: magnetic moment on the atom in μB.
Positions (direct):
1 Y 0.000 0.000 0.000  -0.13
2 Y 0.500 0.500 0.000  -0.13
3 Ba 0.500 0.000 0.500  -0.07
4 Cr 0.000 0.500 0.500  3.76

- size of the total moment (μB per atom) = 0.936
- crystal system = orthorhombic
- Fermi-level density of states (states/eV per cell) = 4.7

Unit: kJ/mol of atoms. Relative energies: w 0.0; x 31.0.

w | Material: BaY2Cr
Method: DFT, PBE
State: relaxed

abc: 6.925 6.925 3.535
angles: 77.03 77.03 119.94
Last column: magnetic moment on the atom in μB.
Positions (direct):
1 Y 0.500 0.500 0.000  -0.13
2 Y 0.000 0.000 0.000  -0.13
3 Cr 0.000 0.500 0.500  3.87
4 Ba 0.500 0.000 0.500  -0.04

- size of the total moment (μB per atom) = 0.985
- crystal system = monoclinic
- Fermi-level density of states (states/eV per cell) = 6.3

x | Material: BaY2Cr
Method: DFT, PBE
State: relaxed

abc: 5.356 3.752 7.196
angles: 74.93 90.00 90.00
Last column: magnetic moment on the atom in μB.
Positions (direct):
1 Cr 0.500 0.909 0.802  3.63
2 Y 0.500 0.230 0.167  -0.26
3 Y 0.000 0.815 0.998  -0.25
4 Ba 0.000 0.546 0.532  -0.04

- size of the total moment (μB per atom) = 0.760
- crystal system = monoclinic
- Fermi-level density of states (states/eV per cell) = 5.6

y | Material: BaY2Cr
Method: DFT, PBE
State: relaxed

abc: 5.851 5.851 5.851
angles: 125.33 125.33 80.98
Last column: magnetic moment on the atom in μB.
Positions (direct):
1 Y 0.000 0.000 0.000  -0.30
2 Y 0.250 0.750 0.500  -0.40
3 Ba 0.500 0.500 0.000  -0.07
4 Cr 0.750 0.250 0.500  3.74

- size of the total moment (μB per atom) = 0.732
- crystal system = tetragonal
- Fermi-level density of states (states/eV per cell) = 6.7

Unit: kJ/mol of atoms. Relative energies: w 12.3; x 0.0; y 8.8.

w | Material: BaY2Cr
Method: DFT, PBE
State: relaxed

abc: 6.866 6.866 6.866
angles: 148.06 129.07 61.39
Last column: magnetic moment on the atom in μB.
Positions (direct):
1 Ba 0.750 0.250 0.500  -0.03
2 Y 0.044 0.044 0.000  -0.16
3 Y 0.456 0.456 0.000  -0.16
4 Cr 0.250 0.750 0.500  3.57

- size of the total moment (μB per atom) = 0.803
- crystal system = orthorhombic
- Fermi-level density of states (states/eV per cell) = 4.2

x | Material: BaY2Cr
Method: DFT, PBE
State: relaxed

abc: 3.931 3.931 8.868
angles: 90.00 90.00 90.05
Last column: magnetic moment on the atom in μB.
Positions (direct):
1 Y 0.500 0.500 0.195  -0.18
2 Y 0.000 0.000 0.955  -0.13
3 Cr 0.500 0.500 0.812  3.68
4 Ba 0.000 0.000 0.538  -0.03

- size of the total moment (μB per atom) = 0.871
- crystal system = tetragonal
- Fermi-level density of states (states/eV per cell) = 5.4

Unit: kJ/mol of atoms. Relative energies: w 1.8; x 0.0.

w | Material: Ba2ZrCr
Method: DFT, PBE
State: relaxed

abc: 5.497 5.497 5.497
angles: 60.00 60.00 60.00
Positions (direct):
1 Cr 0.000 0.000 0.000
2 Zr 0.500 0.500 0.500
3 Ba 0.250 0.250 0.250
4 Ba 0.750 0.750 0.750

- size of the total moment (μB per atom) = 0.000
- crystal system = cubic
- Fermi-level density of states (states/eV per cell) = 6.3

x | Material: Ba2ZrCr
Method: DFT, PBE
State: relaxed

abc: 3.809 3.809 9.773
angles: 90.00 90.00 90.06
Last column: magnetic moment on the atom in μB.
Positions (direct):
1 Cr 0.500 0.500 0.250  -4.03
2 Zr 0.500 0.500 0.750  0.78
3 Ba 0.000 0.000 0.486  0.04
4 Ba 0.000 0.000 0.014  0.04

- size of the total moment (μB per atom) = 0.795
- crystal system = tetragonal
- Fermi-level density of states (states/eV per cell) = 4.7

Unit: kJ/mol of atoms. Relative energies: w 54.3; x 0.0.

w | Material: Ba2ZrCr
Method: DFT, PBE
State: relaxed

abc: 7.103 7.103 7.103
angles: 149.06 129.06 60.80
Last column: magnetic moment on the atom in μB.
Positions (direct):
1 Ba 0.715 0.215 0.500  -0.08
2 Ba 0.010 0.010 0.000  -0.01
3 Zr 0.309 0.809 0.500  -0.68
4 Cr 0.467 0.467 0.000  3.43

- size of the total moment (μB per atom) = 0.603
- crystal system = orthorhombic
- Fermi-level density of states (states/eV per cell) = 4.8

x | Material: Ba2ZrCr
Method: DFT, PBE
State: relaxed

abc: 3.793 3.793 9.952
angles: 90.00 90.00 90.03
Last column: magnetic moment on the atom in μB.
Positions (direct):
1 Zr 0.500 0.500 0.671  -0.45
2 Cr 0.000 0.000 0.566  3.30
3 Ba 0.000 0.000 0.940  -0.05
4 Ba 0.500 0.500 0.323  -0.02

- size of the total moment (μB per atom) = 0.694
- crystal system = tetragonal
- Fermi-level density of states (states/eV per cell) = 5.3

Unit: kJ/mol of atoms. Relative energies: w 13.4; x 0.0.

w | Material: Ba2ZrCr
Method: DFT, PBE
State: relaxed

abc: 11.291 11.291 11.291
angles: 19.58 19.58 19.58
Last column: magnetic moment on the atom in μB.
Positions (direct):
1 Zr 0.229 0.229 0.229  -0.28
2 Cr 0.513 0.513 0.513  3.31
3 Ba 0.771 0.771 0.771  -0.03
4 Ba 0.987 0.987 0.987  0.04

- size of the total moment (μB per atom) = 0.781
- crystal system = trigonal
- Fermi-level density of states (states/eV per cell) = 5.0

x | Material: Ba2ZrCr
Method: DFT, PBE
State: relaxed

abc: 6.053 6.053 3.833
angles: 90.00 90.00 90.00
Last column: magnetic moment on the atom in μB.
Positions (direct):
1 Zr 0.000 0.500 0.500  -0.48
2 Cr 0.500 0.000 0.500  4.03
3 Ba 0.500 0.500 0.000  0.00
4 Ba 0.000 0.000 0.000  0.00

- size of the total moment (μB per atom) = 1.006
- crystal system = tetragonal
- Fermi-level density of states (states/eV per cell) = 4.1

Unit: kJ/mol of atoms. Relative energies: w 0.0; x 14.4.